ZnMo: optimized geometry, GGA-PBE.

* E_tot: -94.5 eV per cell
* spin magnetization: 0.0 μB per formula unit
* offset from the most stable computed form: 2.051 kcal/mol of atoms
* crystal system: orthorhombic
* E_form: 150 meV per atom

abc: 4.277 13.105 4.269
angles: 90.00 90.00 90.00
Sites, in units of the cell vectors:
1 Zn 0.250 0.000 0.250
2 Zn 0.250 0.116 0.750
3 Zn 0.250 0.384 0.750
4 Zn 0.250 0.500 0.250
5 Zn 0.750 0.000 0.750
6 Zn 0.750 0.500 0.750
7 Zn 0.750 0.616 0.250
8 Zn 0.750 0.884 0.250
9 Mo 0.250 0.250 0.249
10 Mo 0.250 0.630 0.750
11 Mo 0.250 0.750 0.251
12 Mo 0.250 0.870 0.750
13 Mo 0.750 0.130 0.250
14 Mo 0.750 0.250 0.749
15 Mo 0.750 0.370 0.250
16 Mo 0.750 0.750 0.751

CdH32C16S4N8Cl2: optimized geometry, GGA-PBE.

* E_tot: -355.9 eV per cell
* crystal system: triclinic

abc: 8.620 9.156 9.344
angles: 60.76 73.89 88.03
Sites, in units of the cell vectors:
1 Cd 0.000 0.000 0.000
2 H 0.082 0.549 0.590
3 H 0.121 0.724 0.745
4 H 0.128 0.048 0.245
5 H 0.161 0.654 0.017
6 H 0.170 0.439 0.322
7 H 0.193 0.055 0.500
8 H 0.240 0.377 0.164
9 H 0.260 0.585 0.723
10 H 0.356 0.100 0.312
11 H 0.387 0.582 0.385
12 H 0.394 0.883 0.605
13 H 0.405 0.388 0.740
14 H 0.425 0.336 0.351
15 H 0.435 0.822 0.445
16 H 0.474 0.540 0.872
17 H 0.486 0.134 0.909
18 H 0.514 0.866 0.091
19 H 0.526 0.460 0.128
20 H 0.565 0.178 0.555
21 H 0.575 0.664 0.649
22 H 0.595 0.612 0.260
23 H 0.606 0.117 0.395
24 H 0.613 0.418 0.615
25 H 0.644 0.900 0.688
26 H 0.740 0.415 0.277
27 H 0.760 0.623 0.836
28 H 0.807 0.945 0.500
29 H 0.830 0.561 0.678
30 H 0.839 0.346 0.983
31 H 0.872 0.952 0.755
32 H 0.879 0.276 0.255
33 H 0.918 0.451 0.410
34 C 0.092 0.795 0.412
35 C 0.209 0.700 0.650
36 C 0.262 0.001 0.422
37 C 0.265 0.467 0.203
38 C 0.339 0.851 0.530
39 C 0.341 0.774 0.033
40 C 0.430 0.456 0.235
41 C 0.468 0.601 0.261
42 C 0.532 0.399 0.739
43 C 0.570 0.544 0.765
44 C 0.659 0.226 0.967
45 C 0.661 0.149 0.470
46 C 0.735 0.533 0.797
47 C 0.738 0.999 0.578
48 C 0.791 0.300 0.350
49 C 0.908 0.205 0.588
50 S 0.034 0.251 0.678
51 S 0.318 0.970 0.876
52 S 0.682 0.030 0.124
53 S 0.966 0.749 0.322
54 N 0.126 0.669 0.550
55 N 0.153 0.954 0.352
56 N 0.258 0.635 0.066
57 N 0.445 0.760 0.121
58 N 0.555 0.240 0.879
59 N 0.742 0.365 0.934
60 N 0.847 0.046 0.648
61 N 0.874 0.331 0.450
62 Cl 0.102 0.268 0.015
63 Cl 0.898 0.732 0.985

Which value of E_tot does entry 1 give? -94.5 eV per cell

Which value of E_tot does entry 1 give? -94.5 eV per cell

Among the records above, which one has the highest E_tot? ZnMo

Please write out number 2 again, unchanged.
CdH32C16S4N8Cl2: optimized geometry, GGA-PBE.

* E_tot: -355.9 eV per cell
* crystal system: triclinic

abc: 8.620 9.156 9.344
angles: 60.76 73.89 88.03
Sites, in units of the cell vectors:
1 Cd 0.000 0.000 0.000
2 H 0.082 0.549 0.590
3 H 0.121 0.724 0.745
4 H 0.128 0.048 0.245
5 H 0.161 0.654 0.017
6 H 0.170 0.439 0.322
7 H 0.193 0.055 0.500
8 H 0.240 0.377 0.164
9 H 0.260 0.585 0.723
10 H 0.356 0.100 0.312
11 H 0.387 0.582 0.385
12 H 0.394 0.883 0.605
13 H 0.405 0.388 0.740
14 H 0.425 0.336 0.351
15 H 0.435 0.822 0.445
16 H 0.474 0.540 0.872
17 H 0.486 0.134 0.909
18 H 0.514 0.866 0.091
19 H 0.526 0.460 0.128
20 H 0.565 0.178 0.555
21 H 0.575 0.664 0.649
22 H 0.595 0.612 0.260
23 H 0.606 0.117 0.395
24 H 0.613 0.418 0.615
25 H 0.644 0.900 0.688
26 H 0.740 0.415 0.277
27 H 0.760 0.623 0.836
28 H 0.807 0.945 0.500
29 H 0.830 0.561 0.678
30 H 0.839 0.346 0.983
31 H 0.872 0.952 0.755
32 H 0.879 0.276 0.255
33 H 0.918 0.451 0.410
34 C 0.092 0.795 0.412
35 C 0.209 0.700 0.650
36 C 0.262 0.001 0.422
37 C 0.265 0.467 0.203
38 C 0.339 0.851 0.530
39 C 0.341 0.774 0.033
40 C 0.430 0.456 0.235
41 C 0.468 0.601 0.261
42 C 0.532 0.399 0.739
43 C 0.570 0.544 0.765
44 C 0.659 0.226 0.967
45 C 0.661 0.149 0.470
46 C 0.735 0.533 0.797
47 C 0.738 0.999 0.578
48 C 0.791 0.300 0.350
49 C 0.908 0.205 0.588
50 S 0.034 0.251 0.678
51 S 0.318 0.970 0.876
52 S 0.682 0.030 0.124
53 S 0.966 0.749 0.322
54 N 0.126 0.669 0.550
55 N 0.153 0.954 0.352
56 N 0.258 0.635 0.066
57 N 0.445 0.760 0.121
58 N 0.555 0.240 0.879
59 N 0.742 0.365 0.934
60 N 0.847 0.046 0.648
61 N 0.874 0.331 0.450
62 Cl 0.102 0.268 0.015
63 Cl 0.898 0.732 0.985